[1]
VASP calculation (PBE) on a relaxed structure of ZnCu2P.

a = 3.162 Å, b = 3.385 Å, c = 4.959 Å
α = 90.00°, β = 90.00°, γ = 90.00°
Space group Pmm2 (No. 25)
Asymmetric unit:
Zn  0.000  0.000  0.000 [1 per cell]
Cu  0.000  0.000  0.502 [1 per cell]
Cu  0.500  0.500  0.238 [1 per cell]
P  0.500  0.500  0.718 [1 per cell]

Summary:
ΔH_f (0 K) (eV per atom): 0.062
Calculated density (Mg/m³): 6.99

=====

[2]
VASP calculation (PBE) on a relaxed structure of ZnCu2P2.

a = 7.527 Å, b = 7.527 Å, c = 2.539 Å
α = 90.00°, β = 90.00°, γ = 90.00°
Space group P4/mbm (No. 127)
Asymmetric unit:
Zn  0.000  0.000  0.000 [2 per cell]
Cu  0.150  0.350  0.500 [4 per cell]
P  0.148  0.648  0.000 [4 per cell]

Summary:
ΔH_f (0 K) (eV per atom): 0.209
Calculated density (Mg/m³): 5.88

=====

[3]
VASP calculation (PBE) on a relaxed structure of ZnCu2P.

a = 3.749 Å, b = 3.749 Å, c = 3.706 Å
α = 90.00°, β = 90.00°, γ = 90.00°
Space group P4/mmm (No. 123)
Asymmetric unit:
Zn  0.000  0.000  0.000 [1 per cell]
Cu  0.000  0.500  0.500 [2 per cell]
P  0.500  0.500  0.000 [1 per cell]

Summary:
ΔH_f (0 K) (eV per atom): 0.047
Calculated density (Mg/m³): 7.12

=====

[4]
VASP calculation (PBE) on a relaxed structure of ZnCu2P.

a = 2.730 Å, b = 3.866 Å, c = 5.150 Å
α = 90.00°, β = 90.39°, γ = 90.00°
Space group P2/m (No. 10)
Asymmetric unit:
Zn  0.000  0.000  0.000 [1 per cell]
Cu  0.494  0.500  0.240 [2 per cell]
P  0.500  0.000  0.500 [1 per cell]

Summary:
ΔH_f (0 K) (eV per atom): 0.078
Calculated density (Mg/m³): 6.83

=====

[5]
VASP calculation (PBE) on a relaxed structure of Zn4CuP.

a = 7.145 Å, b = 7.145 Å, c = 7.145 Å
α = 90.00°, β = 90.00°, γ = 90.00°
Space group F-43m (No. 216)
Asymmetric unit:
Zn  0.125  0.125  0.125 [16 per cell]
Cu  0.250  0.250  0.750 [4 per cell]
P  0.000  0.000  0.500 [4 per cell]

Summary:
ΔH_f (0 K) (eV per atom): 0.301
Calculated density (Mg/m³): 6.49

=====

[6]
VASP calculation (PBE) on a relaxed structure of ZnCu2P6.

a = 6.681 Å, b = 9.540 Å, c = 5.606 Å
α = 90.00°, β = 90.33°, γ = 90.00°
Space group P2_1/c (No. 14)
Asymmetric unit:
Zn  0.000  0.000  0.000 [2 per cell]
Cu  0.429  0.209  0.299 [4 per cell]
P  0.106  0.654  0.892 [4 per cell]
P  0.175  0.227  0.033 [4 per cell]
P  0.249  0.652  0.253 [4 per cell]

Summary:
ΔH_f (0 K) (eV per atom): 0.051
Calculated density (Mg/m³): 3.52

=====

[7]
VASP calculation (PBE) on a relaxed structure of ZnCu2P.

a = 8.753 Å, b = 2.768 Å, c = 4.429 Å
α = 90.00°, β = 97.60°, γ = 90.00°
Space group Cm (No. 8)
Asymmetric unit:
Zn  0.000  0.000  0.000 [2 per cell]
Cu  0.250  0.500  0.237 [2 per cell]
Cu  0.493  0.000  0.489 [2 per cell]
P  0.234  0.000  0.702 [2 per cell]

Summary:
ΔH_f (0 K) (eV per atom): 0.113
Calculated density (Mg/m³): 6.98

=====

[8]
VASP calculation (PBE) on a relaxed structure of ZnCu2P.

a = 2.8268 Å, b = 2.8268 Å, c = 23.5364 Å
α = 90.00°, β = 90.00°, γ = 120.00°
Space group R3m (No. 160, hexagonal axes)
Asymmetric unit:
Zn  0.0000  0.0000  0.0000 [3 per cell]
Cu  0.0000  0.0000  0.5012 [3 per cell]
Cu  0.0000  0.0000  0.7508 [3 per cell]
P  0.0000  0.0000  0.2437 [3 per cell]

Summary:
ΔH_f (0 K) (eV per atom): 0.150
Calculated density (Mg/m³): 6.83

=====

[9]
VASP calculation (PBE) on a relaxed structure of ZnCu2P.

a = 3.699 Å, b = 3.699 Å, c = 7.647 Å
α = 90.00°, β = 90.00°, γ = 90.00°
Space group I4/mmm (No. 139)
Asymmetric unit:
Zn  0.000  0.000  0.000 [2 per cell]
Cu  0.000  0.500  0.250 [4 per cell]
P  0.000  0.000  0.500 [2 per cell]

Summary:
ΔH_f (0 K) (eV per atom): 0.083
Calculated density (Mg/m³): 7.09

=====

[10]
VASP calculation (PBE) on a relaxed structure of Zr2ZnCuP.

a = 5.016 Å, b = 5.016 Å, c = 4.039 Å
α = 90.00°, β = 90.00°, γ = 90.00°
Space group P4/mmm (No. 123)
Asymmetric unit:
Zr  0.000  0.500  0.000 [2 per cell]
Zn  0.000  0.000  0.500 [1 per cell]
Cu  0.500  0.500  0.000 [1 per cell]
P  0.500  0.500  0.500 [1 per cell]

Summary:
ΔH_f (0 K) (eV per atom): 0.350
Calculated density (Mg/m³): 5.59

=====

[11]
VASP calculation (PBE) on a relaxed structure of Zr2CuP2.

a = 6.895 Å, b = 6.895 Å, c = 3.524 Å
α = 90.00°, β = 90.00°, γ = 90.00°
Space group P4/mbm (No. 127)
Asymmetric unit:
Zr  0.156  0.344  0.000 [4 per cell]
Cu  0.000  0.000  0.500 [2 per cell]
P  0.148  0.648  0.500 [4 per cell]

Summary:
ΔH_f (0 K) (eV per atom): -0.878
Calculated density (Mg/m³): 6.10

=====

[12]
VASP calculation (PBE) on a relaxed structure of ZrCuP6.

a = 4.616 Å, b = 5.184 Å, c = 7.146 Å
α = 73.96°, β = 76.01°, γ = 71.62°
Space group P-1 (No. 2)
Asymmetric unit:
Zr  0.000  0.000  0.000 [1 per cell]
Cu  0.500  0.500  0.500 [1 per cell]
P  0.047  0.554  0.837 [2 per cell]
P  0.301  0.129  0.587 [2 per cell]
P  0.498  0.766  0.190 [2 per cell]

Summary:
ΔH_f (0 K) (eV per atom): -0.079
Calculated density (Mg/m³): 3.68

=====

Question: The lowest calculated density belongs to which entry?
Answer: ZnCu2P6

=====

Question: What is the formula in the sixth record?
Answer: ZnCu2P6